# 1
VASP calculation (PBE) on a relaxed structure of Eu2AuSe.

## Properties
energy relative to the lowest polymorph listed for this composition: 0 meV per atom
magnetization: 14.684 μB per formula unit
symmetry: R-3m, No. 166
formation energy without anion corrections: -1.301 eV per atom

Cell and atoms, written as POSCAR:
```
Eu2AuSe
1.0
-1.331 1.817 3.689
-3.493 -1.537 2.029
2.636 -4.526 5.711
Eu Au Se
2 1 1
direct
0.753 0.753 0.742 Eu
0.247 0.247 0.258 Eu
0.000 0.000 0.000 Au
0.500 0.500 0.500 Se
```

---

# 2
VASP calculation (PBE) on a relaxed structure of Eu2AuSe.

## Properties
energy relative to the lowest polymorph listed for this composition: 49 meV per atom
magnetization: 14.316 μB per formula unit
symmetry: P4/mmm, No. 123
formation energy without anion corrections: -1.252 eV per atom

Cell and atoms, written as POSCAR:
```
Eu2AuSe
1.0
-2.213 3.040 -0.041
-2.426 -1.796 -2.242
-3.611 -2.548 5.949
Eu Au Se
2 1 1
direct
0.000 0.000 0.257 Eu
0.000 0.000 0.743 Eu
0.500 0.500 0.000 Au
0.500 0.500 0.500 Se
```

---

# 3
VASP calculation (PBE) on a relaxed structure of Eu3Au5Se12.

## Properties
magnetization: 18.948 μB per formula unit
symmetry: Ia-3d, No. 230
formation energy without anion corrections: -0.474 eV per atom

Cell and atoms, written as POSCAR:
```
Eu3Au5Se12
1.0
-4.768 7.943 -10.592
3.621 -12.682 -4.908
-10.092 -1.431 9.702
Au Se Eu
20 48 12
direct
0.250 0.375 0.625 Au
0.000 0.000 0.000 Au
0.375 0.125 0.750 Au
0.750 0.625 0.375 Au
0.625 0.750 0.875 Au
0.875 0.250 0.625 Au
0.500 0.000 0.500 Au
0.750 0.125 0.875 Au
0.625 0.875 0.250 Au
0.125 0.750 0.375 Au
0.875 0.625 0.750 Au
0.250 0.875 0.125 Au
0.500 0.000 0.000 Au
0.000 0.000 0.500 Au
0.375 0.250 0.125 Au
0.125 0.375 0.250 Au
0.500 0.500 0.000 Au
0.500 0.500 0.500 Au
0.000 0.500 0.500 Au
0.000 0.500 0.000 Au
0.412 0.373 0.581 Se
0.912 0.081 0.873 Se
0.127 0.419 0.088 Se
0.539 0.331 0.912 Se
0.581 0.708 0.669 Se
0.669 0.461 0.588 Se
0.331 0.539 0.412 Se
0.088 0.919 0.127 Se
0.669 0.208 0.581 Se
0.539 0.208 0.127 Se
0.419 0.292 0.331 Se
0.919 0.088 0.627 Se
0.208 0.669 0.081 Se
0.127 0.708 0.539 Se
0.873 0.581 0.912 Se
0.373 0.412 0.081 Se
0.961 0.588 0.169 Se
0.581 0.873 0.412 Se
0.039 0.412 0.831 Se
0.708 0.581 0.169 Se
0.461 0.792 0.873 Se
0.081 0.169 0.208 Se
0.792 0.331 0.919 Se
0.331 0.792 0.419 Se
0.088 0.169 0.461 Se
0.373 0.961 0.792 Se
0.831 0.912 0.039 Se
0.461 0.669 0.088 Se
0.292 0.419 0.831 Se
0.792 0.461 0.373 Se
0.292 0.873 0.961 Se
0.831 0.919 0.292 Se
0.169 0.081 0.708 Se
0.627 0.039 0.208 Se
0.627 0.588 0.919 Se
0.169 0.088 0.961 Se
0.708 0.127 0.039 Se
0.588 0.627 0.419 Se
0.961 0.373 0.292 Se
0.419 0.127 0.588 Se
0.081 0.912 0.373 Se
0.873 0.292 0.461 Se
0.412 0.039 0.331 Se
0.208 0.539 0.627 Se
0.919 0.831 0.792 Se
0.588 0.961 0.669 Se
0.912 0.831 0.539 Se
0.039 0.627 0.708 Se
0.125 0.250 0.875 Eu
0.250 0.625 0.875 Eu
0.625 0.375 0.750 Eu
0.250 0.125 0.375 Eu
0.750 0.375 0.125 Eu
0.750 0.875 0.625 Eu
0.375 0.625 0.250 Eu
0.875 0.750 0.125 Eu
0.125 0.875 0.750 Eu
0.875 0.125 0.250 Eu
0.375 0.750 0.625 Eu
0.625 0.250 0.375 Eu
```

---

# 4
VASP calculation (PBE) on a relaxed structure of Eu2SiAu.

## Properties
magnetization: 14.076 μB per formula unit
symmetry: P4/mmm, No. 123
formation energy without anion corrections: -0.572 eV per atom

Cell and atoms, written as POSCAR:
```
Eu2SiAu
1.0
3.598 0.000 0.000
0.000 3.598 0.000
0.000 0.000 7.805
Eu Au Si
2 1 1
direct
0.000 0.000 0.243 Eu
0.000 0.000 0.757 Eu
0.500 0.500 0.500 Au
0.500 0.500 0.000 Si
```

---

# 5
VASP calculation (PBE) on a relaxed structure of Eu2Si3Au.

## Properties
magnetization: 13.922 μB per formula unit
symmetry: P-6m2, No. 187
formation energy without anion corrections: -0.557 eV per atom

Cell and atoms, written as POSCAR:
```
Eu2Si3Au
1.0
-3.210 2.337 -1.333
2.564 -1.812 -2.772
-5.163 -7.148 -0.102
Au Si Eu
1 3 2
direct
0.333 0.667 0.000 Au
0.667 0.333 0.500 Si
0.333 0.667 0.500 Si
0.667 0.333 0.000 Si
0.000 0.000 0.747 Eu
0.000 0.000 0.253 Eu
```

---

# 6
VASP calculation (PBE) on a relaxed structure of SmEuSiAu.

## Properties
magnetization: 7.187 μB per formula unit
symmetry: F-43m, No. 216
formation energy without anion corrections: -0.632 eV per atom

Cell and atoms, written as POSCAR:
```
SmEuSiAu
1.0
5.197 0.000 0.000
2.598 4.500 0.000
2.598 1.500 4.243
Si Au Eu Sm
1 1 1 1
direct
0.750 0.750 0.750 Si
0.250 0.250 0.250 Au
0.000 0.000 0.000 Eu
0.500 0.500 0.500 Sm
```